Record 1
{
  "formula": "Sc3ZnB",
  "functional": "PBE",
  "state": "optimized geometry",
  "delta_e_f_ev_per_atom": -0.150,
  "e_above_lowest_polymorph_kj_per_mol_atoms": 0.0,
  "crystal_system": "cubic",
  "cell": [[4.652, 0.000, 0.000], [0.000, 4.652, 0.000], [0.000, 0.000, 4.652]],
  "species": ["Sc", "Sc", "Sc", "Zn", "B"],
  "fractional_positions": [[0.000, 0.000, 0.500], [0.000, 0.500, 0.000], [0.500, 0.000, 0.000], [0.500, 0.500, 0.500], [0.000, 0.000, 0.000]]
}


Record 2
{
  "formula": "Li5HgBi4",
  "functional": "PBE",
  "state": "optimized geometry",
  "delta_e_f_ev_per_atom": -0.376,
  "crystal_system": "tetragonal",
  "cell": [[3.383, 0.000, 0.000], [0.000, 3.383, 0.000], [0.000, 0.000, 20.072]],
  "species": ["Li", "Li", "Li", "Li", "Li", "Hg", "Bi", "Bi", "Bi", "Bi"],
  "fractional_positions": [[0.000, 0.000, 0.000], [0.000, 0.000, 0.210], [0.000, 0.000, 0.416], [0.000, 0.000, 0.584], [0.000, 0.000, 0.790], [0.500, 0.500, 0.500], [0.500, 0.500, 0.105], [0.500, 0.500, 0.315], [0.500, 0.500, 0.685], [0.500, 0.500, 0.895]]
}


Record 3
{
  "formula": "HfGeCl3",
  "functional": "PBE",
  "state": "optimized geometry",
  "crystal_system": "cubic",
  "formation_energy_uncorrected_mev_per_atom": -487,
  "cell": [[5.010, 0.000, 0.000], [0.000, 5.010, 0.000], [0.000, 0.000, 5.010]],
  "species": ["Hf", "Ge", "Cl", "Cl", "Cl"],
  "fractional_positions": [[0.000, 0.000, 0.000], [0.500, 0.500, 0.500], [0.000, 0.000, 0.500], [0.000, 0.500, 0.000], [0.500, 0.000, 0.000]]
}


Record 4
{
  "formula": "Pt2C",
  "functional": "PBE",
  "state": "optimized geometry",
  "delta_e_f_ev_per_atom": 0.731,
  "e_above_lowest_polymorph_kj_per_mol_atoms": 16.8,
  "crystal_system": "tetragonal",
  "cell": [[3.131, 0.000, 0.000], [0.000, 3.131, 0.000], [0.000, 0.000, 4.068]],
  "species": ["Pt", "Pt", "C"],
  "fractional_positions": [[0.000, 0.000, 0.000], [0.500, 0.500, 0.500], [0.000, 0.000, 0.500]]
}


Record 5
{
  "formula": "CeScAl2",
  "functional": "PBE",
  "state": "optimized geometry",
  "delta_e_f_ev_per_atom": -0.382,
  "e_above_lowest_polymorph_kj_per_mol_atoms": 0.0,
  "crystal_system": "tetragonal",
  "cell": [[3.213, 0.000, 0.000], [0.000, 3.213, 0.000], [0.000, 0.000, 8.234]],
  "species": ["Ce", "Sc", "Al", "Al"],
  "fractional_positions": [[0.000, 0.000, 0.000], [0.000, 0.000, 0.500], [0.500, 0.500, 0.270], [0.500, 0.500, 0.730]]
}


Record 6
{
  "formula": "TlGa3S",
  "functional": "PBE",
  "state": "optimized geometry",
  "e_above_lowest_polymorph_kj_per_mol_atoms": 0.0,
  "crystal_system": "cubic",
  "formation_energy_uncorrected_mev_per_atom": 258,
  "cell": [[5.080, 0.000, 0.000], [0.000, 5.080, 0.000], [0.000, 0.000, 5.080]],
  "species": ["Tl", "Ga", "Ga", "Ga", "S"],
  "fractional_positions": [[0.000, 0.000, 0.000], [0.000, 0.500, 0.500], [0.500, 0.000, 0.500], [0.500, 0.500, 0.000], [0.500, 0.500, 0.500]]
}


Record 7
{
  "formula": "CsCd3Pd",
  "functional": "PBE",
  "state": "optimized geometry",
  "delta_e_f_ev_per_atom": -0.185,
  "crystal_system": "cubic",
  "cell": [[5.414, 0.000, 0.000], [0.000, 5.414, 0.000], [0.000, 0.000, 5.414]],
  "species": ["Cs", "Cd", "Cd", "Cd", "Pd"],
  "fractional_positions": [[0.000, 0.000, 0.000], [0.000, 0.500, 0.500], [0.500, 0.000, 0.500], [0.500, 0.500, 0.000], [0.500, 0.500, 0.500]]
}


Record 8
{
  "formula": "RbScMo3",
  "functional": "PBE",
  "state": "optimized geometry",
  "delta_e_f_ev_per_atom": 2.313,
  "e_above_lowest_polymorph_kj_per_mol_atoms": 0.0,
  "crystal_system": "cubic",
  "cell": [[5.041, 0.000, 0.000], [0.000, 5.041, 0.000], [0.000, 0.000, 5.041]],
  "species": ["Rb", "Sc", "Mo", "Mo", "Mo"],
  "fractional_positions": [[0.000, 0.000, 0.000], [0.500, 0.500, 0.500], [0.000, 0.500, 0.500], [0.500, 0.000, 0.500], [0.500, 0.500, 0.000]]
}


M_tot in μB/cell, matching the order above: 1.60; 0.00; 1.96; 0.00; 0.00; 0.00; 0.00; 5.93